PBE Ga2GeSe4, optimized geometry; V = 190.6 Å³ per cell; raw formation energy = -0.3525 eV per atom
1.0
6.330 -0.042 0.000
-3.084 5.528 0.000
-1.623 -2.743 5.469
Ge Ga Se
1 2 4
direct
0.500 0.500 0.000 Ge
0.750 0.250 0.500 Ga
0.250 0.750 0.500 Ga
0.174 0.668 0.842 Se
0.826 0.332 0.158 Se
0.668 0.826 0.495 Se
0.332 0.174 0.505 Se